Entry 1:
# Na4Ce3HfTe8 | Alexandria via LeMat-Bulk | PBE-GGA | relaxed
data_Na4Ce3HfTe8
_cell_length_a 8.8925
_cell_length_b 8.8925
_cell_length_c 22.7607
_cell_angle_alpha 90.00
_cell_angle_beta 90.00
_cell_angle_gamma 120.00
_space_group_name_H-M_alt 'R -3 m'
_space_group_IT_number 166
_space_group_name_Hall '-R 3 2"'
loop_
_atom_site_label
_atom_site_fract_x
_atom_site_fract_y
_atom_site_fract_z
_atom_site_occupancy
Na1 0.0000 0.0000 0.0000 1
Na2 0.0000 0.5000 0.0000 1
Ce1 0.0000 0.5000 0.5000 1
Hf1 0.0000 0.0000 0.5000 1
Te1 0.0000 0.0000 0.2484 1
Te2 0.0216 0.5108 0.2438 1
# Total magnetic moment in μB per cell: 11.84
# Density in g cm⁻³: 5.47
# Total energy in eV/atom: -4.764
# E_form (uncorrected) in eV/atom: -1.129

---

Entry 2:
# CeHfNb | Alexandria via LeMat-Bulk | PBE-GGA | relaxed
data_CeHfNb
_cell_length_a 4.102
_cell_length_b 4.102
_cell_length_c 8.531
_cell_angle_alpha 90.00
_cell_angle_beta 90.00
_cell_angle_gamma 90.00
_space_group_name_H-M_alt 'P 4/n m m'
_space_group_IT_number 129
loop_
_space_group_symop_operation_xyz
'x,y,z'
'-x,-y,-z'
'-y+1/2,x,z'
'y+1/2,-x,-z'
'-x+1/2,-y+1/2,z'
'x+1/2,y+1/2,-z'
'y,-x+1/2,z'
'-y,x+1/2,-z'
'x+1/2,-y,-z'
'-x+1/2,y,z'
'-y,-x,-z'
'y,x,z'
'-x,y+1/2,-z'
'x,-y+1/2,z'
'y+1/2,x+1/2,-z'
'-y+1/2,-x+1/2,z'
loop_
_atom_site_label
_atom_site_fract_x
_atom_site_fract_y
_atom_site_fract_z
_atom_site_occupancy
Ce1 0.250 0.250 0.128 1
Hf1 0.250 0.250 0.742 1
Nb1 0.250 0.750 0.500 1
# Total magnetic moment in μB per cell: 0.34
# Energy of formation in eV/atom: 0.352
# Density in g cm⁻³: 9.52
# Polymorph energy (0 for the lowest one) in eV/atom: 0.1371
# Total energy in eV/atom: -8.300

---

Entry 3:
# CeHfNb2 | Alexandria via LeMat-Bulk | PBE-GGA | relaxed
data_CeHfNb2
_cell_length_a 3.437
_cell_length_b 3.437
_cell_length_c 7.018
_cell_angle_alpha 90.00
_cell_angle_beta 90.00
_cell_angle_gamma 90.00
_space_group_name_H-M_alt 'P 4/m m m'
_space_group_IT_number 123
_space_group_name_Hall '-P 4 2'
loop_
_atom_site_label
_atom_site_fract_x
_atom_site_fract_y
_atom_site_fract_z
_atom_site_occupancy
Ce1 0.000 0.000 0.000 1
Hf1 0.000 0.000 0.500 1
Nb1 0.500 0.500 0.241 1
# Total magnetic moment in μB per cell: 0.00
# Energy of formation in eV/atom: 0.205
# Density in g cm⁻³: 10.11
# Total energy in eV/atom: -8.802

---

Entry 4:
# Ce2HfNb | Alexandria via LeMat-Bulk | PBE-GGA | relaxed
data_Ce2HfNb
_cell_length_a 3.0623
_cell_length_b 3.0623
_cell_length_c 34.4107
_cell_angle_alpha 90.00
_cell_angle_beta 90.00
_cell_angle_gamma 120.00
_space_group_name_H-M_alt 'R -3 m'
_space_group_IT_number 166
_space_group_name_Hall '-R 3 2"'
loop_
_atom_site_label
_atom_site_fract_x
_atom_site_fract_y
_atom_site_fract_z
_atom_site_occupancy
Ce1 0.0000 0.0000 0.0831 1
Hf1 0.0000 0.0000 0.5000 1
Nb1 0.0000 0.0000 0.0000 1
# Total magnetic moment in μB per cell: 0.00
# Energy of formation in eV/atom: 0.389
# Density in g cm⁻³: 9.83
# Total energy in eV/atom: -7.584

---

Entry 5:
# CeHfNb | Alexandria via LeMat-Bulk | PBE-GGA | relaxed
data_CeHfNb
_cell_length_a 3.488
_cell_length_b 3.488
_cell_length_c 10.889
_cell_angle_alpha 90.00
_cell_angle_beta 90.00
_cell_angle_gamma 90.00
_space_group_name_H-M_alt 'I 4 m m'
_space_group_IT_number 107
_space_group_name_Hall 'I 4 -2'
loop_
_atom_site_label
_atom_site_fract_x
_atom_site_fract_y
_atom_site_fract_z
_atom_site_occupancy
Ce1 0.000 0.000 0.000 1
Hf1 0.000 0.000 0.310 1
Nb1 0.000 0.000 0.655 1
# Total magnetic moment in μB per cell: 0.00
# Energy of formation in eV/atom: 0.215
# Density in g cm⁻³: 10.32
# Polymorph energy (0 for the lowest one) in eV/atom: 0.0000
# Total energy in eV/atom: -8.437

---

Entry 6:
# CeHfScNb | Alexandria via LeMat-Bulk | PBE-GGA | relaxed
data_CeHfScNb
_cell_length_a 7.129
_cell_length_b 7.129
_cell_length_c 7.129
_cell_angle_alpha 90.00
_cell_angle_beta 90.00
_cell_angle_gamma 90.00
_space_group_name_H-M_alt 'F -4 3 m'
_space_group_IT_number 216
_space_group_name_Hall 'F -4 2 3'
loop_
_atom_site_label
_atom_site_fract_x
_atom_site_fract_y
_atom_site_fract_z
_atom_site_occupancy
Ce1 0.000 0.000 0.000 1
Hf1 0.000 0.000 0.500 1
Sc1 0.250 0.250 0.250 1
Nb1 0.250 0.250 0.750 1
# Total magnetic moment in μB per cell: 2.87
# Energy of formation in eV/atom: 0.180
# Density in g cm⁻³: 8.37
# Total energy in eV/atom: -7.892

---

Entry 7:
# Ce2NdHf | Alexandria via LeMat-Bulk | PBE-GGA | relaxed
data_Ce2NdHf
_cell_length_a 3.2186
_cell_length_b 3.2186
_cell_length_c 36.5817
_cell_angle_alpha 90.00
_cell_angle_beta 90.00
_cell_angle_gamma 120.00
_space_group_name_H-M_alt 'R -3 m'
_space_group_IT_number 166
_space_group_name_Hall '-R 3 2"'
loop_
_atom_site_label
_atom_site_fract_x
_atom_site_fract_y
_atom_site_fract_z
_atom_site_occupancy
Ce1 0.0000 0.0000 0.0800 1
Nd1 0.0000 0.0000 0.5000 1
Hf1 0.0000 0.0000 0.0000 1
# Total magnetic moment in μB per cell: 0.00
# Energy of formation in eV/atom: 0.337
# Density in g cm⁻³: 9.15
# Polymorph energy (0 for the lowest one) in eV/atom: 0.1863
# Total energy in eV/atom: -6.310

---

Entry 8:
# Ce2NdHf | Alexandria via LeMat-Bulk | PBE-GGA | relaxed
data_Ce2NdHf
_cell_length_a 4.719
_cell_length_b 4.719
_cell_length_c 5.003
_cell_angle_alpha 90.00
_cell_angle_beta 90.00
_cell_angle_gamma 90.00
_space_group_name_H-M_alt 'P 4/m m m'
_space_group_IT_number 123
_space_group_name_Hall '-P 4 2'
loop_
_atom_site_label
_atom_site_fract_x
_atom_site_fract_y
_atom_site_fract_z
_atom_site_occupancy
Ce1 0.000 0.500 0.000 1
Nd1 0.000 0.000 0.500 1
Hf1 0.500 0.500 0.500 1
# Total magnetic moment in μB per cell: 0.00
# Energy of formation in eV/atom: 0.200
# Density in g cm⁻³: 8.99
# Polymorph energy (0 for the lowest one) in eV/atom: 0.0494
# Total energy in eV/atom: -6.447

---

Entry 9:
# CeNd2Hf | Alexandria via LeMat-Bulk | PBE-GGA | relaxed
data_CeNd2Hf
_cell_length_a 4.928
_cell_length_b 4.928
_cell_length_c 4.909
_cell_angle_alpha 90.00
_cell_angle_beta 90.00
_cell_angle_gamma 90.00
_space_group_name_H-M_alt 'P 4/m m m'
_space_group_IT_number 123
_space_group_name_Hall '-P 4 2'
loop_
_atom_site_label
_atom_site_fract_x
_atom_site_fract_y
_atom_site_fract_z
_atom_site_occupancy
Ce1 0.000 0.000 0.000 1
Nd1 0.000 0.500 0.500 1
Hf1 0.500 0.500 0.000 1
# Total magnetic moment in μB per cell: 0.55
# Energy of formation in eV/atom: 0.218
# Density in g cm⁻³: 8.46
# Polymorph energy (0 for the lowest one) in eV/atom: 0.0000
# Total energy in eV/atom: -6.138

---

Entry 10:
# Ce2NdHf | Alexandria via LeMat-Bulk | PBE-GGA | relaxed
data_Ce2NdHf
_cell_length_a 3.302
_cell_length_b 3.302
_cell_length_c 10.245
_cell_angle_alpha 90.00
_cell_angle_beta 90.00
_cell_angle_gamma 90.00
_space_group_name_H-M_alt 'P 4/m m m'
_space_group_IT_number 123
_space_group_name_Hall '-P 4 2'
loop_
_atom_site_label
_atom_site_fract_x
_atom_site_fract_y
_atom_site_fract_z
_atom_site_occupancy
Ce1 0.000 0.000 0.231 1
Nd1 0.500 0.500 0.500 1
Hf1 0.500 0.500 0.000 1
# Total magnetic moment in μB per cell: 0.00
# Energy of formation in eV/atom: 0.150
# Density in g cm⁻³: 8.96
# Polymorph energy (0 for the lowest one) in eV/atom: 0.0000
# Total energy in eV/atom: -6.497

---

Entry 11:
# CeNd2Hf | Alexandria via LeMat-Bulk | PBE-GGA | relaxed
data_CeNd2Hf
_cell_length_a 3.3449
_cell_length_b 3.3449
_cell_length_c 36.4793
_cell_angle_alpha 90.00
_cell_angle_beta 90.00
_cell_angle_gamma 120.00
_space_group_name_H-M_alt 'R -3 m'
_space_group_IT_number 166
_space_group_name_Hall '-R 3 2"'
loop_
_atom_site_label
_atom_site_fract_x
_atom_site_fract_y
_atom_site_fract_z
_atom_site_occupancy
Ce1 0.0000 0.0000 0.0000 1
Nd1 0.0000 0.0000 0.4145 1
Hf1 0.0000 0.0000 0.5000 1
# Total magnetic moment in μB per cell: 1.14
# Energy of formation in eV/atom: 0.407
# Density in g cm⁻³: 8.56
# Polymorph energy (0 for the lowest one) in eV/atom: 0.1889
# Total energy in eV/atom: -5.949

---

Entry 12:
# Ce2NdHfP4 | Alexandria via LeMat-Bulk | PBE-GGA | relaxed
data_Ce2NdHfP4
_cell_length_a 6.920
_cell_length_b 3.995
_cell_length_c 6.943
_cell_angle_alpha 90.00
_cell_angle_beta 109.30
_cell_angle_gamma 90.00
_space_group_name_H-M_alt 'P 1 2/m 1'
_space_group_IT_number 10
loop_
_space_group_symop_operation_xyz
'x,y,z'
'-x,-y,-z'
'-x,y,-z'
'x,-y,z'
loop_
_atom_site_label
_atom_site_fract_x
_atom_site_fract_y
_atom_site_fract_z
_atom_site_occupancy
Ce1 0.000 0.000 0.000 1
Ce2 0.000 0.500 0.500 1
Nd1 0.500 0.000 0.500 1
Hf1 0.500 0.500 0.000 1
P1 0.255 0.500 0.235 1
P2 0.266 0.000 0.770 1
# Total magnetic moment in μB per cell: 0.65
# Energy of formation in eV/atom: -1.437
# Density in g cm⁻³: 6.66
# Total energy in eV/atom: -7.466